DFT (PBE) results for a geometry-optimized Y2ReSe structure. Values from VASP.

Computed properties:
Formation energy from raw total energies = -44 kJ/mol of atoms
V = 94 Å³ per cell
Symmetry = R-3m (166)

Structure (Quantum ESPRESSO input):
```
&SYSTEM
  ibrav = 0, nat = 4, ntyp = 3
/
ATOMIC_SPECIES
Re 186.21 Re.upf
Se 78.96 Se.upf
Y 88.91 Y.upf
CELL_PARAMETERS angstrom
3.6888 -0.0032 0.0113
1.8515 3.1905 0.0113
1.8137 1.0434 7.9641
ATOMIC_POSITIONS crystal
Re 0.2500 0.2500 0.2500
Se 0.7500 0.7500 0.7500
Y 0.0007 0.0007 0.9989
Y 0.4993 0.4993 0.5011
```